--- 1 ---
Here is a geometry-optimized TiAg2Cl structure from Alexandria via LeMat-Bulk. Energies are from GGA-PBE.

Lattice parameters (Å, degrees): 6.144 6.144 6.144 100.48 100.48 129.50
Fractional coordinates of all 8 atoms:
Ti 0.000 0.000 0.000
Ti 0.750 0.250 0.500
Ag 0.126 0.125 0.501
Ag 0.375 0.874 0.999
Ag 0.624 0.625 0.499
Ag 0.875 0.376 0.001
Cl 0.250 0.750 0.500
Cl 0.500 0.500 0.000

Calculated values
The total magnetization comes out at 2.0 Bohr magnetons per cell.

--- 2 ---
Here is a geometry-optimized TiAg2Cl structure from Alexandria via LeMat-Bulk. Energies are from GGA-PBE.

Lattice parameters (Å, degrees): 4.795 4.795 4.795 60.00 60.00 60.00
Fractional coordinates of all 4 atoms:
Ti 0.000 0.000 0.000
Ag 0.250 0.250 0.250
Ag 0.750 0.750 0.750
Cl 0.500 0.500 0.500

Calculated values
The total magnetization comes out at 0.9 Bohr magnetons per cell.

The structure with the least stability is 2.